No. 1
{"formula": "Mn2SnIr2", "functional": "GGA-PBE", "state": "relaxed", "lattice": [[-0.602, -3.934, 6.155], [-1.791, -5.908, -3.951], [2.664, -0.688, -0.179]], "species": ["Ir", "Ir", "Ir", "Ir", "Sn", "Sn", "Mn", "Mn", "Mn", "Mn"], "frac_coords": [[0.372, 0.872, 0.000], [0.872, 0.628, 0.000], [0.628, 0.128, 0.000], [0.128, 0.372, 0.000], [0.000, 0.000, 0.000], [0.500, 0.500, 0.000], [0.166, 0.666, 0.500], [0.666, 0.834, 0.500], [0.834, 0.334, 0.500], [0.334, 0.166, 0.500]], "crystal_system": "tetragonal", "formation_enthalpy_0k_ev_per_atom": 0.19, "sg": "P4/mbm (127)"}

No. 2
{"formula": "LiSnN3", "functional": "GGA-PBE", "state": "relaxed", "lattice": [[4.199, 0.000, 0.000], [0.000, 4.199, 0.000], [0.000, 0.000, 4.199]], "species": ["Li", "Sn", "N", "N", "N"], "frac_coords": [[0.500, 0.500, 0.500], [0.000, 0.000, 0.000], [0.000, 0.500, 0.000], [0.000, 0.000, 0.500], [0.500, 0.000, 0.000]], "formation_energy_uncorrected_ev_per_atom": 1.396, "crystal_system": "cubic", "sg": "Pm-3m (221)"}

No. 3
{"formula": "RbBi5", "functional": "GGA-PBE", "state": "relaxed", "lattice": [[-2.002, -1.039, 3.715], [2.599, -5.343, -0.094], [5.076, 5.697, 4.330]], "species": ["Bi", "Bi", "Bi", "Bi", "Bi", "Rb"], "frac_coords": [[0.000, 0.650, 0.299], [0.000, 0.350, 0.701], [0.500, 0.500, 0.000], [0.500, 0.203, 0.406], [0.500, 0.797, 0.594], [0.000, 0.000, 0.000]], "crystal_system": "orthorhombic", "formation_enthalpy_0k_ev_per_atom": 0.00, "sg": "Cmmm (65)"}

No. 4
{"formula": "Dy4AlIn", "functional": "GGA-PBE", "state": "relaxed", "lattice": [[5.106, 0.000, 0.000], [2.553, 4.416, 0.255], [2.553, 0.987, 8.442]], "species": ["Dy", "Dy", "Dy", "Dy", "Al", "In"], "frac_coords": [[0.628, 0.628, 0.115], [0.372, 0.372, 0.885], [0.121, 0.121, 0.636], [0.879, 0.879, 0.364], [0.000, 0.000, 0.000], [0.500, 0.500, 0.500]], "crystal_system": "trigonal", "e_above_lowest_polymorph_mev_per_atom": 214.0, "formation_enthalpy_0k_ev_per_atom": -0.06, "sg": "R-3m (166)"}

No. 5
{"formula": "Zn2In2Hg", "functional": "GGA-PBE", "state": "relaxed", "lattice": [[-3.525, 1.810, 1.769], [0.276, -2.740, 3.354], [2.048, 3.676, 5.641]], "species": ["Zn", "Zn", "Hg", "In", "In"], "frac_coords": [[0.404, 0.404, 0.192], [0.596, 0.596, 0.808], [0.000, 0.000, 0.000], [0.750, 0.250, 0.500], [0.250, 0.750, 0.500]], "crystal_system": "tetragonal", "e_above_lowest_polymorph_mev_per_atom": 75.0, "formation_enthalpy_0k_ev_per_atom": 0.14, "sg": "I4/mmm (139)"}

Calculated DOS at the Fermi energy in order - 6.08 1.51 4.15 9.37 2.46 states/eV/f.u.
Calculated magnetization in order - 0.0 4.0 0.0 0.0 0.0 μB/cell
Calculated total energy in order - -7.819 -4.783 -3.391 -4.207 -1.523 eV/atom